Entry 1:
## Pm2Sm5Ga4 (GGA-PBE)

Data for a geometry-optimized Pm2Sm5Ga4 structure.

Final energy   -4.3121 eV per atom
Formation enthalpy at 0 K   -0.203 eV/atom
Calculated density   6.9 g/cm³
Magnetic moment   0.0 μB/f.u.

Cell lengths 11.353, 11.353, 7.964 Å; angles 98.08, 98.08, 18.16 degrees
Positions (direct):
Pm  0.068  0.068  0.154
Pm  0.932  0.932  0.846
Sm  0.167  0.167  0.564
Sm  0.215  0.215  0.151
Sm  0.500  0.500  0.500
Sm  0.785  0.785  0.849
Sm  0.833  0.833  0.436
Ga  0.062  0.062  0.775
Ga  0.354  0.354  0.122
Ga  0.646  0.646  0.878
Ga  0.938  0.938  0.225

=====

Entry 2:
## HSe2S (GGA-PBE)

Data for a geometry-optimized HSe2S structure.

Final energy   -3.1054 eV per atom
Relative energy among the computed polymorphs   0 meV per atom
Calculated density   3.7 g/cm³
Magnetic moment   0.0 μB/f.u.

Cell lengths 6.847, 6.847, 6.847 Å; angles 33.21, 33.21, 33.21 degrees
Positions (direct):
H  0.000  0.000  0.000
Se  0.092  0.092  0.092
Se  0.908  0.908  0.908
S  0.500  0.500  0.500